(1)
{"formula": "Sr4Ag2Pd", "functional": "PBE", "state": "relaxed", "magnetic_moment_mub_per_fu": 0.00, "space_group": "C2/m", "total_energy_ev_per_atom": -2.8703, "cell": [[8.146, -2.339, 0.000], [8.146, 2.339, 0.000], [-1.504, 0.000, 6.493]], "species": ["Sr", "Sr", "Sr", "Sr", "Ag", "Ag", "Pd"], "fractional_positions": [[0.082, 0.082, 0.274], [0.346, 0.346, 0.183], [0.654, 0.654, 0.817], [0.918, 0.918, 0.726], [0.265, 0.265, 0.634], [0.735, 0.735, 0.366], [0.500, 0.500, 0.000]]}


(2)
{"formula": "Sr6AgPd", "functional": "PBE", "state": "relaxed", "magnetic_moment_mub_per_fu": 0.00, "space_group": "P-31c", "total_energy_ev_per_atom": -2.5143, "cell": [[7.577, 0.000, 0.000], [-3.789, 6.562, 0.000], [0.000, 0.000, 14.578]], "species": ["Sr", "Sr", "Sr", "Sr", "Sr", "Sr", "Sr", "Sr", "Sr", "Sr", "Sr", "Sr", "Ag", "Ag", "Pd", "Pd"], "fractional_positions": [[0.005, 0.328, 0.122], [0.005, 0.677, 0.378], [0.323, 0.328, 0.378], [0.323, 0.995, 0.122], [0.328, 0.005, 0.622], [0.328, 0.323, 0.878], [0.672, 0.677, 0.122], [0.672, 0.995, 0.378], [0.677, 0.005, 0.878], [0.677, 0.672, 0.622], [0.995, 0.323, 0.622], [0.995, 0.672, 0.878], [0.333, 0.667, 0.750], [0.667, 0.333, 0.250], [0.000, 0.000, 0.000], [0.000, 0.000, 0.500]]}


(3)
{"formula": "SrAgPd2", "functional": "PBE", "state": "relaxed", "polymorph_energy_mev_per_atom": 138.3, "magnetic_moment_mub_per_fu": 0.00, "space_group": "P2/c", "total_energy_ev_per_atom": -3.9668, "cell": [[6.395, 0.000, 0.000], [0.000, 7.255, 0.000], [-6.385, 0.000, 8.344]], "species": ["Sr", "Sr", "Sr", "Sr", "Ag", "Ag", "Ag", "Ag", "Pd", "Pd", "Pd", "Pd", "Pd", "Pd", "Pd", "Pd"], "fractional_positions": [[0.000, 0.206, 0.250], [0.000, 0.794, 0.750], [0.500, 0.206, 0.750], [0.500, 0.794, 0.250], [0.000, 0.351, 0.750], [0.000, 0.649, 0.250], [0.500, 0.352, 0.250], [0.500, 0.648, 0.750], [0.000, 0.000, 0.000], [0.000, 0.000, 0.500], [0.379, 0.142, 0.000], [0.379, 0.858, 0.500], [0.500, 0.500, 0.000], [0.500, 0.500, 0.500], [0.621, 0.142, 0.500], [0.621, 0.858, 0.000]]}


(4)
{"formula": "Sr12Ag3Pd5", "functional": "PBE", "state": "relaxed", "magnetic_moment_mub_per_fu": 0.00, "space_group": "Ia-3d", "total_energy_ev_per_atom": -2.9454, "cell": [[-9.269, 9.269, 9.269], [9.269, -9.269, 9.269], [9.269, 9.269, -9.269]], "species": ["Sr", "Sr", "Sr", "Sr", "Sr", "Sr", "Sr", "Sr", "Sr", "Sr", "Sr", "Sr", "Sr", "Sr", "Sr", "Sr", "Sr", "Sr", "Sr", "Sr", "Sr", "Sr", "Sr", "Sr", "Sr", "Sr", "Sr", "Sr", "Sr", "Sr", "Sr", "Sr", "Sr", "Sr", "Sr", "Sr", "Sr", "Sr", "Sr", "Sr", "Sr", "Sr", "Sr", "Sr", "Sr", "Sr", "Sr", "Sr", "Ag", "Ag", "Ag", "Ag", "Ag", "Ag", "Ag", "Ag", "Ag", "Ag", "Ag", "Ag", "Pd", "Pd", "Pd", "Pd", "Pd", "Pd", "Pd", "Pd", "Pd", "Pd", "Pd", "Pd", "Pd", "Pd", "Pd", "Pd", "Pd", "Pd", "Pd", "Pd"], "fractional_positions": [[0.036, 0.212, 0.122], [0.036, 0.324, 0.914], [0.086, 0.622, 0.410], [0.086, 0.964, 0.676], [0.090, 0.712, 0.676], [0.090, 0.878, 0.414], [0.122, 0.036, 0.212], [0.122, 0.586, 0.910], [0.176, 0.212, 0.590], [0.176, 0.464, 0.586], [0.212, 0.122, 0.036], [0.212, 0.590, 0.176], [0.288, 0.324, 0.910], [0.288, 0.464, 0.378], [0.324, 0.910, 0.288], [0.324, 0.914, 0.036], [0.378, 0.288, 0.464], [0.378, 0.590, 0.914], [0.410, 0.086, 0.622], [0.410, 0.824, 0.788], [0.414, 0.090, 0.878], [0.414, 0.824, 0.536], [0.464, 0.378, 0.288], [0.464, 0.586, 0.176], [0.536, 0.414, 0.824], [0.536, 0.622, 0.712], [0.586, 0.176, 0.464], [0.586, 0.910, 0.122], [0.590, 0.176, 0.212], [0.590, 0.914, 0.378], [0.622, 0.410, 0.086], [0.622, 0.712, 0.536], [0.676, 0.086, 0.964], [0.676, 0.090, 0.712], [0.712, 0.536, 0.622], [0.712, 0.676, 0.090], [0.788, 0.410, 0.824], [0.788, 0.878, 0.964], [0.824, 0.536, 0.414], [0.824, 0.788, 0.410], [0.878, 0.414, 0.090], [0.878, 0.964, 0.788], [0.910, 0.122, 0.586], [0.910, 0.288, 0.324], [0.914, 0.036, 0.324], [0.914, 0.378, 0.590], [0.964, 0.676, 0.086], [0.964, 0.788, 0.878], [0.125, 0.250, 0.375], [0.125, 0.375, 0.750], [0.250, 0.375, 0.125], [0.250, 0.875, 0.625], [0.375, 0.125, 0.250], [0.375, 0.750, 0.125], [0.625, 0.250, 0.875], [0.625, 0.875, 0.750], [0.750, 0.125, 0.375], [0.750, 0.625, 0.875], [0.875, 0.625, 0.250], [0.875, 0.750, 0.625], [0.000, 0.000, 0.000], [0.000, 0.000, 0.500], [0.000, 0.500, 0.000], [0.000, 0.500, 0.500], [0.125, 0.750, 0.875], [0.125, 0.875, 0.250], [0.250, 0.125, 0.875], [0.250, 0.625, 0.375], [0.375, 0.250, 0.625], [0.375, 0.625, 0.750], [0.500, 0.000, 0.000], [0.500, 0.000, 0.500], [0.500, 0.500, 0.000], [0.500, 0.500, 0.500], [0.625, 0.375, 0.250], [0.625, 0.750, 0.375], [0.750, 0.375, 0.625], [0.750, 0.875, 0.125], [0.875, 0.125, 0.750], [0.875, 0.250, 0.125]]}